(1)
Compound: TiMn2O6
Source: Alexandria via LeMat-Bulk
Functional: SCAN
Structure: single point on PBEsol structure

Values from the calculation:
Raw formation energy in meV per atom: -2390
Energy relative to the lowest polymorph listed for this composition in eV/f.u.: 0.052

Cell: 4.9845 4.9891 9.6904 Å, 90.00 90.00 119.97°
Closest atoms and distances in Å follow each position.
Positions (direct):
Mn1 0.3333 0.6666 0.5000  6 O 1.90
Mn2 0.1667 0.3334 0.0000  6 O 1.90
O1 0.5000 0.6576 0.9009  2 Mn 1.90, 1 Ti 1.96
O2 0.0000 0.3424 0.4009  2 Mn 1.90, 1 Ti 1.96
O3 0.1576 0.6576 0.0991  2 Mn 1.90, 1 Ti 1.96
O4 0.0000 0.6576 0.5991  2 Mn 1.90, 1 Ti 1.96
O5 0.3424 0.3424 0.5991  2 Mn 1.90, 1 Ti 1.96
Mn3 0.8333 0.6666 0.0000  6 O 1.90
O6 0.6576 0.6576 0.4009  2 Mn 1.90, 1 Ti 1.96
O7 0.3427 0.0000 0.4007  2 Mn 1.90, 1 Ti 1.96
O8 0.6573 0.0000 0.5993  2 Mn 1.90, 1 Ti 1.96
Ti1 0.0000 0.0000 0.5000  6 O 1.96
Mn4 0.6667 0.3334 0.5000  6 O 1.90
O9 0.8427 0.0000 0.0993  2 Mn 1.90, 1 Ti 1.96
O10 0.5000 0.3424 0.0991  2 Mn 1.90, 1 Ti 1.96
O11 0.8424 0.3424 0.9009  2 Mn 1.90, 1 Ti 1.96
O12 0.1573 0.0000 0.9007  2 Mn 1.90, 1 Ti 1.96
Ti2 0.5000 0.0000 0.0000  6 O 1.96


(2)
Compound: TiMn3O8
Source: Alexandria via LeMat-Bulk
Functional: SCAN
Structure: single point on PBEsol structure

Values from the calculation:
Raw formation energy in meV per atom: -2296
Energy relative to the lowest polymorph listed for this composition in eV/f.u.: 0.000

Cell: 8.0867 8.0867 8.0867 Å, 90.00 90.00 90.00°
Closest atoms and distances in Å follow each position.
Positions (direct):
O1 0.3830 0.6094 0.6047  2 Mn 1.89-1.90, 1 Ti 1.97
Mn1 0.8750 0.8791 0.6291  6 O 1.89-1.90
O2 0.6133 0.8867 0.1133  3 Mn 1.90
Mn2 0.3709 0.3750 0.6209  6 O 1.89-1.90
O3 0.3867 0.3867 0.3867  3 Mn 1.90
O4 0.8830 0.8906 0.3953  2 Mn 1.89-1.90, 1 Ti 1.97
O5 0.1170 0.3906 0.1047  2 Mn 1.89-1.90, 1 Ti 1.97
Ti1 0.6250 0.6250 0.6250  6 O 1.97
Mn3 0.8709 0.1250 0.3791  6 O 1.89-1.90
Mn4 0.6209 0.3709 0.3750  6 O 1.89-1.90
O6 0.8594 0.1330 0.1453  2 Mn 1.89-1.90, 1 Ti 1.97
O7 0.8906 0.3953 0.8830  2 Mn 1.89-1.90, 1 Ti 1.97
Ti2 0.1250 0.8750 0.3750  6 O 1.97
Ti3 0.3750 0.1250 0.8750  6 O 1.97
O8 0.1094 0.8953 0.6170  2 Mn 1.89-1.90, 1 Ti 1.97
Mn5 0.3791 0.8709 0.1250  6 O 1.89-1.90
Mn6 0.1250 0.3791 0.8709  6 O 1.89-1.90
O9 0.6330 0.3547 0.1406  2 Mn 1.89-1.90, 1 Ti 1.97
O10 0.6406 0.8670 0.6453  2 Mn 1.89-1.90, 1 Ti 1.97
O11 0.3594 0.3670 0.8547  2 Mn 1.89-1.90, 1 Ti 1.97
O12 0.1453 0.8594 0.1330  2 Mn 1.89-1.90, 1 Ti 1.97
O13 0.1367 0.3633 0.6367  3 Mn 1.90
Mn7 0.6250 0.1209 0.1291  6 O 1.89-1.90
O14 0.1406 0.6330 0.3547  2 Mn 1.89-1.90, 1 Ti 1.97
O15 0.8547 0.3594 0.3670  2 Mn 1.89-1.90, 1 Ti 1.97
Mn8 0.3750 0.6209 0.3709  6 O 1.89-1.90
O16 0.8670 0.6453 0.6406  2 Mn 1.89-1.90, 1 Ti 1.97
O17 0.3633 0.6367 0.1367  3 Mn 1.90
Mn9 0.6291 0.8750 0.8791  6 O 1.89-1.90
O18 0.6047 0.3830 0.6094  2 Mn 1.89-1.90, 1 Ti 1.97
O19 0.3547 0.1406 0.6330  2 Mn 1.89-1.90, 1 Ti 1.97
O20 0.6094 0.6047 0.3830  2 Mn 1.89-1.90, 1 Ti 1.97
O21 0.3906 0.1047 0.1170  2 Mn 1.89-1.90, 1 Ti 1.97
O22 0.3953 0.8830 0.8906  2 Mn 1.89-1.90, 1 Ti 1.97
O23 0.1133 0.6133 0.8867  3 Mn 1.90
O24 0.6453 0.6406 0.8670  2 Mn 1.89-1.90, 1 Ti 1.97
Mn10 0.1209 0.1291 0.6250  6 O 1.89-1.90
O25 0.1330 0.1453 0.8594  2 Mn 1.89-1.90, 1 Ti 1.97
O26 0.6170 0.1094 0.8953  2 Mn 1.89-1.90, 1 Ti 1.97
O27 0.6367 0.1367 0.3633  3 Mn 1.90
O28 0.8633 0.8633 0.8633  3 Mn 1.90
O29 0.8953 0.6170 0.1094  2 Mn 1.89-1.90, 1 Ti 1.97
O30 0.8867 0.1133 0.6133  3 Mn 1.90
Ti4 0.8750 0.3750 0.1250  6 O 1.97
Mn11 0.8791 0.6291 0.8750  6 O 1.89-1.90
O31 0.1047 0.1170 0.3906  2 Mn 1.89-1.90, 1 Ti 1.97
Mn12 0.1291 0.6250 0.1209  6 O 1.89-1.90
O32 0.3670 0.8547 0.3594  2 Mn 1.89-1.90, 1 Ti 1.97


(3)
Compound: TiMn5O12
Source: Alexandria via LeMat-Bulk
Functional: SCAN
Structure: single point on PBEsol structure

Values from the calculation:
Raw formation energy in meV per atom: -2217

Cell: 4.9561 4.9604 9.6852 Å, 90.01 90.01 60.03°
Closest atoms and distances in Å follow each position.
Positions (direct):
Mn1 0.8333 0.3334 0.5000  6 O 1.90
O1 0.5000 0.3332 0.4029  3 Mn 1.90
O2 0.3425 0.6575 0.1002  2 Mn 1.90, 1 Ti 1.96
O3 0.0000 0.3425 0.1002  2 Mn 1.90, 1 Ti 1.96
O4 0.5000 0.6668 0.5971  3 Mn 1.90
O5 0.6575 0.3425 0.8998  2 Mn 1.90, 1 Ti 1.96
O6 0.0000 0.6575 0.8998  2 Mn 1.90, 1 Ti 1.96
O7 0.6574 0.0000 0.1002  2 Mn 1.90, 1 Ti 1.96
O8 0.8336 0.0000 0.5973  3 Mn 1.90
Mn2 0.3333 0.3333 0.0000  6 O 1.90
O9 0.3426 0.0000 0.8998  2 Mn 1.90, 1 Ti 1.96
Mn3 0.5000 0.0000 0.5000  6 O 1.90
Mn4 0.6667 0.6667 0.0000  6 O 1.90
Mn5 0.1667 0.6666 0.5000  6 O 1.90
O10 0.1664 0.0000 0.4027  3 Mn 1.90
O11 0.1668 0.3332 0.5971  3 Mn 1.90
O12 0.8332 0.6668 0.4029  3 Mn 1.90
Ti1 0.0000 0.0000 0.0000  6 O 1.96


(4)
Compound: Ti3Mn5O16
Source: Alexandria via LeMat-Bulk
Functional: SCAN
Structure: single point on PBEsol structure

Values from the calculation:
Raw formation energy in meV per atom: -2481

Cell: 5.7415 5.7415 8.6989 Å, 89.01 89.01 60.22°
Closest atoms and distances in Å follow each position.
Positions (direct):
Ti1 0.1599 0.1599 0.7068  6 O 1.90-2.02
O1 0.8344 0.8344 0.6017  3 Mn 1.91-1.96
Ti2 0.3285 0.8293 0.2074  6 O 1.90-2.04
O2 0.5307 0.9555 0.3429  2 Mn 1.87-1.88, 1 Ti 2.04
Ti3 0.8293 0.3285 0.2074  6 O 1.90-2.04
Mn1 0.6606 0.1659 0.7097  6 O 1.87-1.94
O3 0.4815 0.0465 0.8434  2 Mn 1.87, 1 Ti 2.02
O4 0.1724 0.6563 0.1008  1 Ti 1.90, 2 Mn 1.93-1.95
O5 0.5251 0.5251 0.3486  1 Mn 1.87, 2 Ti 1.96
O6 0.1754 0.1754 0.1028  1 Mn 1.88, 2 Ti 1.94
O7 0.6563 0.1724 0.1008  1 Ti 1.90, 2 Mn 1.93-1.95
O8 0.3390 0.3390 0.5990  2 Mn 1.88, 1 Ti 1.99
Mn2 0.1659 0.6606 0.7097  6 O 1.87-1.94
Mn3 0.8287 0.8287 0.2106  6 O 1.87-1.95
O9 0.9939 0.9939 0.3183  1 Mn 1.91, 2 Ti 1.92
O10 0.6719 0.6719 0.0957  1 Mn 1.87, 2 Ti 1.96
O11 0.8284 0.3444 0.6021  1 Ti 1.90, 2 Mn 1.91-1.94
Mn4 0.6686 0.6686 0.4842  6 O 1.87-1.96
O12 0.3444 0.8284 0.6021  1 Ti 1.90, 2 Mn 1.91-1.94
O13 0.9555 0.5307 0.3429  2 Mn 1.87-1.88, 1 Ti 2.04
O14 0.0465 0.4815 0.8434  2 Mn 1.87, 1 Ti 2.02
O15 0.4780 0.4780 0.8364  3 Mn 1.89-1.92
Mn5 0.3336 0.3336 0.9808  6 O 1.87-1.93
O16 0.9918 0.9918 0.8182  2 Mn 1.91, 1 Ti 1.91


(5)
Compound: Ti3MnO8
Source: Alexandria via LeMat-Bulk
Functional: SCAN
Structure: single point on PBEsol structure

Values from the calculation:
Raw formation energy in meV per atom: -2920

Cell: 5.8757 5.8757 8.6895 Å, 90.00 90.00 120.00°
Closest atoms and distances in Å follow each position.
Positions (direct):
O1 0.3500 0.1750 0.3954  1 Mn 1.93, 2 Ti 1.95
Ti1 0.3335 0.1668 0.7937  6 O 1.94-1.99
O2 0.0000 0.0000 0.6859  3 Ti 1.94
O3 0.5267 0.4733 0.6549  1 Mn 1.86, 2 Ti 1.99
O4 0.0535 0.5267 0.1549  1 Mn 1.86, 2 Ti 1.99
O5 0.4733 0.9465 0.1549  1 Mn 1.86, 2 Ti 1.99
O6 0.1750 0.8250 0.8954  1 Mn 1.93, 2 Ti 1.95
Mn1 0.6667 0.3333 0.5172  6 O 1.86-1.93
O7 0.6667 0.3333 0.9070  3 Ti 1.96
Ti2 0.1668 0.3335 0.2937  6 O 1.94-1.99
O8 0.0000 0.0000 0.1859  3 Ti 1.94
O9 0.9465 0.4733 0.6549  1 Mn 1.86, 2 Ti 1.99
O10 0.8250 0.6500 0.3954  1 Mn 1.93, 2 Ti 1.95
O11 0.3333 0.6667 0.4070  3 Ti 1.96
Ti3 0.1668 0.8332 0.2937  6 O 1.94-1.99
Ti4 0.6665 0.8332 0.2937  6 O 1.94-1.99
Ti5 0.8332 0.6665 0.7937  6 O 1.94-1.99
O12 0.6500 0.8250 0.8954  1 Mn 1.93, 2 Ti 1.95
Mn2 0.3333 0.6667 0.0172  6 O 1.86-1.93
O13 0.1750 0.3500 0.8954  1 Mn 1.93, 2 Ti 1.95
O14 0.5267 0.0535 0.6549  1 Mn 1.86, 2 Ti 1.99
O15 0.8250 0.1750 0.3954  1 Mn 1.93, 2 Ti 1.95
O16 0.4733 0.5267 0.1549  1 Mn 1.86, 2 Ti 1.99
Ti6 0.8332 0.1668 0.7937  6 O 1.94-1.99


(6)
Compound: Ti2MnO4
Source: Alexandria via LeMat-Bulk
Functional: SCAN
Structure: single point on PBEsol structure

Values from the calculation:
Raw formation energy in meV per atom: -2846

Cell: 5.9877 5.9877 5.9877 Å, 60.00 60.00 60.00°
Closest atoms and distances in Å follow each position.
Positions (direct):
O1 0.9036 0.3655 0.3655  1 Mn 1.97, 3 Ti 2.04
O2 0.3655 0.3655 0.9036  1 Mn 1.97, 3 Ti 2.04
O3 0.3464 0.8845 0.8845  1 Mn 1.97, 3 Ti 2.04
O4 0.3655 0.9036 0.3655  1 Mn 1.97, 3 Ti 2.04
Mn1 0.7500 0.7500 0.7500  4 O 1.97
Ti1 0.1250 0.1250 0.6250  6 O 2.04
Ti2 0.1250 0.6250 0.1250  6 O 2.04
Mn2 0.5000 0.5000 0.5000  4 O 1.97
Ti3 0.1250 0.1250 0.1250  6 O 2.04
O5 0.8845 0.8845 0.8845  1 Mn 1.97, 3 Ti 2.04
O6 0.8845 0.8845 0.3464  1 Mn 1.97, 3 Ti 2.04
O7 0.8845 0.3464 0.8845  1 Mn 1.97, 3 Ti 2.04
Ti4 0.6250 0.1250 0.1250  6 O 2.04
O8 0.3655 0.3655 0.3655  1 Mn 1.97, 3 Ti 2.04